(1)
LaPrBi2, relaxed, DFT GGA-PBE; relative energy among the computed polymorphs = 181 meV/atom; theoretical density = 9.01 g cm⁻³; formation enthalpy at 0 K = -3.313 eV per formula unit; E = -5.195 eV/atom
1.0
-0.269 -3.478 -0.059
6.024 -0.456 -0.595
0.586 -0.148 6.040
Bi La Pr
2 1 1
Direct
0.000 0.000 0.500
0.000 0.500 0.000
0.500 0.000 0.000
0.500 0.500 0.500

(2)
LaPr8Bi6, relaxed, DFT GGA-PBE; theoretical density = 7.61 g cm⁻³; formation enthalpy at 0 K = -9.487 eV per formula unit; E = -5.062 eV/atom
1.0
8.526 0.000 0.000
4.263 7.384 0.000
4.263 2.461 8.736
Pr Bi La
8 6 1
Direct
0.877 0.546 0.367
0.667 0.667 0.000
0.546 0.210 0.367
0.454 0.790 0.633
0.123 0.454 0.633
0.333 0.333 0.000
0.790 0.123 0.633
0.210 0.877 0.367
0.403 0.067 0.797
0.733 0.403 0.797
0.267 0.597 0.203
0.067 0.733 0.797
0.597 0.933 0.203
0.933 0.267 0.203
0.000 0.000 0.000

(3)
La2PrBi, relaxed, DFT GGA-PBE; relative energy among the computed polymorphs = 0 meV/atom; theoretical density = 8.04 g cm⁻³; formation enthalpy at 0 K = -1.986 eV per formula unit; E = -5.125 eV/atom
1.0
5.109 0.000 0.000
0.000 5.038 0.000
0.000 0.000 5.038
La Pr Bi
2 1 1
Direct
0.000 0.500 0.000
0.000 0.000 0.500
0.500 0.500 0.500
0.500 0.000 0.000

(4)
La14PrBi, relaxed, DFT GGA-PBE; theoretical density = 6.75 g cm⁻³; formation enthalpy at 0 K = -1.743 eV per formula unit; E = -4.962 eV/atom
1.0
7.353 -0.016 0.000
0.016 7.353 0.000
0.000 0.000 10.447
La Bi Pr
14 1 1
Direct
0.375 0.875 0.000
0.118 0.118 0.745
0.118 0.118 0.255
0.375 0.375 0.000
0.632 0.118 0.255
0.875 0.375 0.000
0.632 0.632 0.255
0.118 0.632 0.745
0.632 0.118 0.745
0.632 0.632 0.745
0.375 0.875 0.500
0.875 0.375 0.500
0.875 0.875 0.000
0.118 0.632 0.255
0.875 0.875 0.500
0.375 0.375 0.500